Model i:
The following is a meta-GGA SCAN calculation of a PBEsol-optimized structure of CuAgPt2, from Alexandria.

The structure in extended XYZ format:
```
4
Lattice="-0.265 -2.628 0.552 2.475 1.074 -0.028 -0.746 1.955 8.946" Properties=species:S:1:pos:R:3 pbc="T T T"
Pt -0.571 1.496 6.847
Cu 1.105 -0.777 0.262
Ag 0.732 0.200 4.735
Pt -0.175 0.459 2.099
```

Calculated values
crystal system = orthorhombic
density of states at the Fermi level = 0.27 states/eV/atom

***

Model ii:
The following is a meta-GGA SCAN calculation of a PBEsol-optimized structure of CuAgPt2, from Alexandria.

The structure in extended XYZ format:
```
4
Lattice="2.748 0.000 0.000 0.000 2.748 0.000 0.000 0.000 7.659" Properties=species:S:1:pos:R:3 pbc="T T T"
Ag 1.374 1.374 0.000
Pt 0.000 0.000 5.580
Pt 0.000 0.000 2.079
Cu 1.374 1.374 3.830
```

Calculated values
crystal system = tetragonal
density of states at the Fermi level = 1.00 states/eV/atom

***

It is model i that is the most stable of them.

***

Model i:
The following is a meta-GGA SCAN calculation of a PBEsol-optimized structure of Ir2Se, from Alexandria.

The structure in extended XYZ format:
```
3
Lattice="2.824 0.000 0.000 0.000 4.388 0.000 0.000 -2.194 3.800" Properties=species:S:1:pos:R:3 pbc="T T T"
Ir 1.412 2.194 1.267
Ir 1.412 0.000 2.533
Se 0.000 0.000 0.000
```

Calculated values
crystal system = hexagonal
density of states at the Fermi level = 0.85 states/eV/atom

***

Model ii:
The following is a meta-GGA SCAN calculation of a PBEsol-optimized structure of Ir2Se, from Alexandria.

The structure in extended XYZ format:
```
6
Lattice="2.777 0.000 0.000 -1.389 5.543 0.022 0.000 -2.586 6.216" Properties=species:S:1:pos:R:3 pbc="T T T"
Se 1.389 4.156 2.801
Ir 1.389 0.618 1.953
Ir 0.000 1.957 3.969
Se 0.000 2.430 0.597
Ir 1.389 -0.207 4.615
Ir 0.000 -2.362 5.808
```

Calculated values
crystal system = monoclinic
density of states at the Fermi level = 0.59 states/eV/atom

***

It is model ii that is the most stable of them.

***

Model i:
The following is a meta-GGA SCAN calculation of a PBEsol-optimized structure of LiTa2Br, from Alexandria.

The structure in extended XYZ format:
```
4
Lattice="-1.769 2.123 0.911 -3.513 -3.516 1.371 3.458 1.345 3.580" Properties=species:S:1:pos:R:3 pbc="T T T"
Ta -1.757 -1.758 0.686
Br -0.884 1.061 0.456
Li -0.912 -0.024 2.931
Ta 1.729 0.673 1.790
```

Calculated values
crystal system = orthorhombic
density of states at the Fermi level = 0.73 states/eV/atom

***

Model ii:
The following is a meta-GGA SCAN calculation of a PBEsol-optimized structure of LiTa2Br, from Alexandria.

The structure in extended XYZ format:
```
4
Lattice="3.965 0.000 0.000 0.000 3.965 0.000 -1.983 -1.983 4.257" Properties=species:S:1:pos:R:3 pbc="T T T"
Ta 0.000 0.000 0.000
Br 1.983 1.983 0.000
Li 0.000 1.983 2.129
Ta 1.983 0.000 2.129
```

Calculated values
crystal system = tetragonal
density of states at the Fermi level = 0.97 states/eV/atom

***

It is model i that is the most stable of them.

***

Model i:
The following is a meta-GGA SCAN calculation of a PBEsol-optimized structure of Ir3Se, from Alexandria.

The structure in extended XYZ format:
```
4
Lattice="-0.869 -0.509 -3.757 -1.836 -3.317 0.874 -3.318 1.968 0.501" Properties=species:S:1:pos:R:3 pbc="T T T"
Se 0.000 0.000 0.000
Ir -2.577 -0.674 0.687
Ir -2.093 0.730 -1.628
Ir -1.352 -1.913 -1.442
```

Calculated values
crystal system = cubic
density of states at the Fermi level = 0.42 states/eV/atom

***

Model ii:
The following is a meta-GGA SCAN calculation of a PBEsol-optimized structure of Ir3Se, from Alexandria.

The structure in extended XYZ format:
```
8
Lattice="-2.827 2.945 1.780 -3.470 -1.019 -3.824 -1.634 -3.643 3.430" Properties=species:S:1:pos:R:3 pbc="T T T"
Se -2.995 -1.972 1.290
Ir -2.968 1.078 1.860
Se -4.936 0.254 0.096
Ir -1.859 0.041 -0.234
Ir -4.148 -0.871 3.209
Ir -6.073 -1.758 1.620
Ir -3.783 -0.846 -1.823
Ir -4.964 -2.795 -0.474
```

Calculated values
crystal system = orthorhombic
density of states at the Fermi level = 0.50 states/eV/atom

***

Model iii:
The following is a meta-GGA SCAN calculation of a PBEsol-optimized structure of Ir3Se, from Alexandria.

The structure in extended XYZ format:
```
4
Lattice="3.979 0.000 0.000 0.000 3.979 0.000 -1.989 -1.989 3.736" Properties=species:S:1:pos:R:3 pbc="T T T"
Ir 1.989 1.989 0.000
Se 0.000 0.000 0.000
Ir 1.989 0.000 1.868
Ir 0.000 1.989 1.868
```

Calculated values
crystal system = tetragonal
density of states at the Fermi level = 0.93 states/eV/atom

***

It is model ii that is the most stable of them.